(1)
{
  "formula": "SrMnBr2",
  "functional": "GGA-PBE",
  "state": "relaxed",
  "formation_energy_uncorrected_ev_per_atom": -0.537,
  "dos_at_fermi_per_ev_cell": 5.5,
  "cell": [[-3.1882, 3.1882, 6.7127], [3.1882, -3.1882, 6.7127], [3.1882, 3.1882, -6.7127]],
  "species": ["Sr", "Sr", "Mn", "Mn", "Br", "Br", "Br", "Br"],
  "frac_coords": [[0.0000, 0.0000, 0.0000], [0.7500, 0.2500, 0.5000], [0.2500, 0.7500, 0.5000], [0.5000, 0.5000, 0.0000], [0.1937, 0.6250, 0.0687], [0.3750, 0.4437, 0.5687], [0.5563, 0.1250, 0.9313], [0.8750, 0.8063, 0.4313]]
}

---

(2)
{
  "formula": "SrMnBr2",
  "functional": "GGA-PBE",
  "state": "relaxed",
  "formation_energy_uncorrected_ev_per_atom": -0.658,
  "dos_at_fermi_per_ev_cell": 1.3,
  "cell": [[3.7506, 0.0000, 0.0000], [0.0000, 3.7506, 0.0000], [0.0000, 0.0000, 10.6280]],
  "species": ["Sr", "Mn", "Br", "Br"],
  "frac_coords": [[0.0000, 0.0000, 0.0000], [0.0000, 0.0000, 0.5000], [0.5000, 0.5000, 0.1656], [0.5000, 0.5000, 0.8344]]
}

---

Repeat the first record exactly.
{
  "formula": "SrMnBr2",
  "functional": "GGA-PBE",
  "state": "relaxed",
  "formation_energy_uncorrected_ev_per_atom": -0.537,
  "dos_at_fermi_per_ev_cell": 5.5,
  "cell": [[-3.1882, 3.1882, 6.7127], [3.1882, -3.1882, 6.7127], [3.1882, 3.1882, -6.7127]],
  "species": ["Sr", "Sr", "Mn", "Mn", "Br", "Br", "Br", "Br"],
  "frac_coords": [[0.0000, 0.0000, 0.0000], [0.7500, 0.2500, 0.5000], [0.2500, 0.7500, 0.5000], [0.5000, 0.5000, 0.0000], [0.1937, 0.6250, 0.0687], [0.3750, 0.4437, 0.5687], [0.5563, 0.1250, 0.9313], [0.8750, 0.8063, 0.4313]]
}